## one
Computed, not measured: Nd2Si3 after structural relaxation at the PBE level of DFT.

Unit cell a=12.6762 b=12.6762 c=4.0257 alpha=90.00 beta=90.00 gamma=160.22
Atoms (fractional coordinates):
Nd (0.0688, 0.9312, 0.7500)
Nd (0.2018, 0.7982, 0.2500)
Nd (0.7982, 0.2018, 0.7500)
Nd (0.9312, 0.0688, 0.2500)
Si (0.3253, 0.6747, 0.2500)
Si (0.3816, 0.6184, 0.7500)
Si (0.4756, 0.5244, 0.7500)
Si (0.5244, 0.4756, 0.2500)
Si (0.6184, 0.3816, 0.2500)
Si (0.6747, 0.3253, 0.7500)

Values from the calculation:
For the mass density, the calculation gives 5.654 g/cm³.

## two
Computed, not measured: Nd2Si3 after structural relaxation at the PBE level of DFT.

Unit cell a=4.0428 b=4.0428 c=8.3332 alpha=90.00 beta=90.00 gamma=120.00
Atoms (fractional coordinates):
Nd (0.0000, 0.0000, 0.2481)
Nd (0.0000, 0.0000, 0.7519)
Si (0.3333, 0.6667, 0.5000)
Si (0.6667, 0.3333, 0.0000)
Si (0.6667, 0.3333, 0.5000)

Values from the calculation:
For the mass density, the calculation gives 5.247 g/cm³.

## three
Computed, not measured: Nd2Si3 after structural relaxation at the PBE level of DFT.

Unit cell a=7.6564 b=7.6564 c=7.6564 alpha=150.10 beta=148.17 gamma=44.24
Atoms (fractional coordinates):
Nd (0.0000, 0.0000, 0.0000)
Nd (0.7536, 0.2536, 0.5000)
Si (0.1634, 0.6634, 0.5000)
Si (0.3288, 0.8288, 0.5000)
Si (0.4249, 0.4249, 0.0000)

Values from the calculation:
For the mass density, the calculation gives 5.260 g/cm³.

Energies relative to the minimum, kJ/mol of atoms: one 0.0; two 22.0; three 6.0

## one
Computed, not measured: NdSmSi after structural relaxation at the PBE level of DFT.

Unit cell a=4.9965 b=4.9965 c=4.9965 alpha=60.00 beta=60.00 gamma=60.00
Atoms (fractional coordinates):
Nd (0.0000, 0.0000, 0.0000)
Sm (0.5000, 0.5000, 0.5000)
Si (0.2500, 0.2500, 0.2500)

Values from the calculation:
For the mass density, the calculation gives 6.075 g/cm³.

## two
Computed, not measured: NdSmSi after structural relaxation at the PBE level of DFT.

Unit cell a=4.7247 b=4.7247 c=4.2825 alpha=90.00 beta=90.00 gamma=120.00
Atoms (fractional coordinates):
Nd (0.0000, 0.0000, 0.0000)
Sm (0.6667, 0.3333, 0.5429)
Si (0.3333, 0.6667, 0.3272)

Values from the calculation:
For the mass density, the calculation gives 6.472 g/cm³.

Energies relative to the minimum, kJ/mol of atoms: one 0.0; two 15.1

## one
Computed, not measured: Nd2SmSi after structural relaxation at the PBE level of DFT.

Unit cell a=11.2372 b=11.2372 c=11.2372 alpha=19.11 beta=19.11 gamma=19.11
Atoms (fractional coordinates):
Nd (0.1079, 0.1079, 0.1079)
Nd (0.8921, 0.8921, 0.8921)
Sm (0.0000, 0.0000, 0.0000)
Si (0.5000, 0.5000, 0.5000)

Values from the calculation:
For the mass density, the calculation gives 5.831 g/cm³.

## two
Computed, not measured: Nd2SmSi after structural relaxation at the PBE level of DFT.

Unit cell a=4.7533 b=4.7533 c=4.7848 alpha=90.00 beta=90.00 gamma=90.00
Atoms (fractional coordinates):
Nd (0.0000, 0.5000, 0.0000)
Nd (0.5000, 0.0000, 0.0000)
Sm (0.0000, 0.0000, 0.5000)
Si (0.5000, 0.5000, 0.5000)

Values from the calculation:
For the mass density, the calculation gives 7.172 g/cm³.

Energies relative to the minimum, kJ/mol of atoms: one 28.2; two 0.0

## one
Computed, not measured: NdSmSi2 after structural relaxation at the PBE level of DFT.

Unit cell a=3.9273 b=5.8806 c=8.1937 alpha=90.00 beta=90.00 gamma=90.00
Atoms (fractional coordinates):
Nd (0.0000, 0.1355, 0.0000)
Nd (0.0000, 0.8645, 0.5000)
Sm (0.5000, 0.3642, 0.6401)
Sm (0.5000, 0.6358, 0.1401)
Si (0.0000, 0.3748, 0.3560)
Si (0.0000, 0.6252, 0.8560)
Si (0.5000, 0.1293, 0.2850)
Si (0.5000, 0.8707, 0.7850)

Values from the calculation:
For the mass density, the calculation gives 6.156 g/cm³.

## two
Computed, not measured: NdSmSi2 after structural relaxation at the PBE level of DFT.

Unit cell a=7.2032 b=7.2032 c=7.2032 alpha=34.53 beta=34.53 gamma=34.53
Atoms (fractional coordinates):
Nd (0.0000, 0.0000, 0.0000)
Sm (0.5000, 0.5000, 0.5000)
Si (0.2485, 0.2485, 0.2485)
Si (0.7515, 0.7515, 0.7515)

Values from the calculation:
For the mass density, the calculation gives 5.436 g/cm³.

Energies relative to the minimum, kJ/mol of atoms: one 0.0; two 33.1

## one
Computed, not measured: NdSi2Tc after structural relaxation at the PBE level of DFT.

Unit cell a=4.5624 b=4.5624 c=4.5624 alpha=62.92 beta=62.92 gamma=62.92
Atoms (fractional coordinates):
Nd (0.0000, 0.0000, 0.0000)
Si (0.2608, 0.2608, 0.2608)
Si (0.7392, 0.7392, 0.7392)
Tc (0.5000, 0.5000, 0.5000)

Values from the calculation:
For the mass density, the calculation gives 6.929 g/cm³.

## two
Computed, not measured: NdSi2Tc after structural relaxation at the PBE level of DFT.

Unit cell a=7.3248 b=3.9989 c=10.2437 alpha=90.00 beta=90.00 gamma=90.00
Atoms (fractional coordinates):
Nd (0.1439, 0.2500, 0.1260)
Nd (0.3561, 0.7500, 0.6260)
Nd (0.6439, 0.2500, 0.3740)
Nd (0.8561, 0.7500, 0.8740)
Si (0.1604, 0.2500, 0.8121)
Si (0.1997, 0.2500, 0.4257)
Si (0.3003, 0.7500, 0.9257)
Si (0.3396, 0.7500, 0.3121)
Si (0.6604, 0.2500, 0.6879)
Si (0.6997, 0.2500, 0.0743)
Si (0.8003, 0.7500, 0.5743)
Si (0.8396, 0.7500, 0.1879)
Tc (0.0115, 0.7500, 0.3925)
Tc (0.4885, 0.2500, 0.8925)
Tc (0.5115, 0.7500, 0.1075)
Tc (0.9885, 0.2500, 0.6075)

Values from the calculation:
For the mass density, the calculation gives 6.606 g/cm³.

Energies relative to the minimum, kJ/mol of atoms: one 53.4; two 0.0

## one
Computed, not measured: NdSi2Tc2 after structural relaxation at the PBE level of DFT.

Unit cell a=10.8320 b=10.8320 c=10.8320 alpha=158.04 beta=157.74 gamma=31.47
Atoms (fractional coordinates):
Nd (0.4137, 0.1637, 0.2500)
Nd (0.5863, 0.8363, 0.7500)
Si (0.0287, 0.2787, 0.7500)
Si (0.1453, 0.3953, 0.7500)
Si (0.8547, 0.6047, 0.2500)
Si (0.9713, 0.7213, 0.2500)
Tc (0.2137, 0.9637, 0.2500)
Tc (0.2882, 0.5382, 0.7500)
Tc (0.7118, 0.4618, 0.2500)
Tc (0.7863, 0.0363, 0.7500)

Values from the calculation:
For the mass density, the calculation gives 7.319 g/cm³.

## two
Computed, not measured: NdSi2Tc2 after structural relaxation at the PBE level of DFT.

Unit cell a=5.9353 b=5.9353 c=5.9353 alpha=138.85 beta=138.85 gamma=59.61
Atoms (fractional coordinates):
Nd (0.0000, 0.0000, 0.0000)
Si (0.3737, 0.3737, 0.0000)
Si (0.6263, 0.6263, 0.0000)
Tc (0.2500, 0.7500, 0.5000)
Tc (0.7500, 0.2500, 0.5000)

Values from the calculation:
For the mass density, the calculation gives 7.343 g/cm³.

Energies relative to the minimum, kJ/mol of atoms: one 0.5; two 0.0

## one
Computed, not measured: NdSi2Tc3 after structural relaxation at the PBE level of DFT.

Unit cell a=7.7461 b=7.7461 c=7.7461 alpha=149.31 beta=117.84 gamma=70.92
Atoms (fractional coordinates):
Nd (0.1254, 0.1254, 0.0000)
Nd (0.8746, 0.8746, 0.0000)
Si (0.2080, 0.5000, 0.7080)
Si (0.3123, 0.8123, 0.5000)
Si (0.6877, 0.1877, 0.5000)
Si (0.7920, 0.5000, 0.2920)
Tc (0.1084, 0.3109, 0.7975)
Tc (0.3558, 0.0000, 0.3558)
Tc (0.4865, 0.6891, 0.7975)
Tc (0.5135, 0.3109, 0.2025)
Tc (0.6442, 0.0000, 0.6442)
Tc (0.8916, 0.6891, 0.2025)

Values from the calculation:
For the mass density, the calculation gives 7.937 g/cm³.

## two
Computed, not measured: NdSi2Tc3 after structural relaxation at the PBE level of DFT.

Unit cell a=7.8172 b=7.8172 c=7.5725 alpha=116.31 beta=116.31 gamma=30.81
Atoms (fractional coordinates):
Nd (0.1447, 0.1447, 0.0620)
Nd (0.8553, 0.8553, 0.9380)
Si (0.1910, 0.1910, 0.7086)
Si (0.4774, 0.4774, 0.8176)
Si (0.5226, 0.5226, 0.1824)
Si (0.8090, 0.8090, 0.2914)
Tc (0.0444, 0.0444, 0.3879)
Tc (0.2992, 0.2992, 0.5307)
Tc (0.4136, 0.4136, 0.3466)
Tc (0.5864, 0.5864, 0.6534)
Tc (0.7008, 0.7008, 0.4693)
Tc (0.9556, 0.9556, 0.6121)

Values from the calculation:
For the mass density, the calculation gives 7.801 g/cm³.

Energies relative to the minimum, kJ/mol of atoms: one 27.8; two 0.0

## one
Computed, not measured: NdTmSi after structural relaxation at the PBE level of DFT.

Unit cell a=6.1633 b=6.1633 c=8.1629 alpha=124.68 beta=124.68 gamma=40.38
Atoms (fractional coordinates):
Nd (0.0848, 0.0848, 0.3571)
Nd (0.9152, 0.9152, 0.6429)
Tm (0.3212, 0.3212, 0.9222)
Tm (0.6788, 0.6788, 0.0778)
Si (0.3774, 0.3774, 0.3364)
Si (0.6226, 0.6226, 0.6636)

Values from the calculation:
For the mass density, the calculation gives 7.093 g/cm³.

## two
Computed, not measured: NdTmSi after structural relaxation at the PBE level of DFT.

Unit cell a=4.6861 b=4.6861 c=4.2352 alpha=90.00 beta=90.00 gamma=120.00
Atoms (fractional coordinates):
Nd (0.0000, 0.0000, 0.0000)
Tm (0.6667, 0.3333, 0.4755)
Si (0.3333, 0.6667, 0.6148)

Values from the calculation:
For the mass density, the calculation gives 7.036 g/cm³.

## three
Computed, not measured: NdTmSi after structural relaxation at the PBE level of DFT.

Unit cell a=4.9013 b=4.9013 c=4.9013 alpha=60.00 beta=60.00 gamma=60.00
Atoms (fractional coordinates):
Nd (0.0000, 0.0000, 0.0000)
Tm (0.5000, 0.5000, 0.5000)
Si (0.7500, 0.7500, 0.7500)

Values from the calculation:
For the mass density, the calculation gives 6.806 g/cm³.

Energies relative to the minimum, kJ/mol of atoms: one 0.0; two 18.2; three 7.4

## one
Computed, not measured: NdTmSi after structural relaxation at the PBE level of DFT.

Unit cell a=12.8532 b=6.9986 c=5.7685 alpha=90.00 beta=90.00 gamma=90.00
Atoms (fractional coordinates):
Nd (0.0000, 0.0939, 0.0000)
Nd (0.1684, 0.4471, 0.7208)
Nd (0.3316, 0.5529, 0.2208)
Nd (0.5000, 0.9061, 0.5000)
Nd (0.6684, 0.5529, 0.2208)
Nd (0.8316, 0.4471, 0.7208)
Tm (0.0000, 0.5790, 0.2250)
Tm (0.1664, 0.9327, 0.5046)
Tm (0.3336, 0.0673, 0.0046)
Tm (0.5000, 0.4210, 0.7250)
Tm (0.6664, 0.0673, 0.0046)
Tm (0.8336, 0.9327, 0.5046)
Si (0.0000, 0.2143, 0.5041)
Si (0.1652, 0.8060, 0.0239)
Si (0.3348, 0.1940, 0.5239)
Si (0.5000, 0.7857, 0.0041)
Si (0.6652, 0.1940, 0.5239)
Si (0.8348, 0.8060, 0.0239)

Values from the calculation:
For the mass density, the calculation gives 6.552 g/cm³.

## two
Computed, not measured: NdTmSi after structural relaxation at the PBE level of DFT.

Unit cell a=7.9039 b=7.9039 c=4.2814 alpha=90.00 beta=90.00 gamma=120.00
Atoms (fractional coordinates):
Nd (0.0000, 0.4035, 0.0000)
Nd (0.4035, 0.0000, 0.0000)
Nd (0.5965, 0.5965, 0.0000)
Tm (0.0000, 0.7405, 0.5000)
Tm (0.2595, 0.2595, 0.5000)
Tm (0.7405, 0.0000, 0.5000)
Si (0.0000, 0.0000, 0.0000)
Si (0.3333, 0.6667, 0.5000)
Si (0.6667, 0.3333, 0.5000)

Values from the calculation:
For the mass density, the calculation gives 7.339 g/cm³.

Energies relative to the minimum, kJ/mol of atoms: one 16.5; two 0.0

## one
Computed, not measured: Nd2TmSi2 after structural relaxation at the PBE level of DFT.

Unit cell a=6.5737 b=6.5737 c=10.7106 alpha=115.39 beta=115.39 gamma=38.68
Atoms (fractional coordinates):
Nd (0.0156, 0.0156, 0.1885)
Nd (0.1797, 0.1797, 0.5921)
Nd (0.8203, 0.8203, 0.4079)
Nd (0.9844, 0.9844, 0.8115)
Tm (0.2751, 0.2751, 0.1320)
Tm (0.7249, 0.7249, 0.8680)
Si (0.3894, 0.3894, 0.9454)
Si (0.4907, 0.4907, 0.6070)
Si (0.5093, 0.5093, 0.3930)
Si (0.6106, 0.6106, 0.0546)

Values from the calculation:
For the mass density, the calculation gives 6.620 g/cm³.

## two
Computed, not measured: Nd2TmSi2 after structural relaxation at the PBE level of DFT.

Unit cell a=7.5584 b=7.5584 c=4.4021 alpha=90.00 beta=90.00 gamma=90.00
Atoms (fractional coordinates):
Nd (0.1771, 0.3229, 0.0000)
Nd (0.3229, 0.8229, 0.0000)
Nd (0.6771, 0.1771, 0.0000)
Nd (0.8229, 0.6771, 0.0000)
Tm (0.0000, 0.0000, 0.5000)
Tm (0.5000, 0.5000, 0.5000)
Si (0.1151, 0.6151, 0.5000)
Si (0.3849, 0.1151, 0.5000)
Si (0.6151, 0.8849, 0.5000)
Si (0.8849, 0.3849, 0.5000)

Values from the calculation:
For the mass density, the calculation gives 6.782 g/cm³.

Energies relative to the minimum, kJ/mol of atoms: one 6.0; two 0.0

## one
Computed, not measured: Nd2TmSi after structural relaxation at the PBE level of DFT.

Unit cell a=4.7039 b=4.7039 c=4.7595 alpha=90.00 beta=90.00 gamma=90.00
Atoms (fractional coordinates):
Nd (0.0000, 0.5000, 0.0000)
Nd (0.5000, 0.0000, 0.0000)
Tm (0.0000, 0.0000, 0.5000)
Si (0.5000, 0.5000, 0.5000)

Values from the calculation:
For the mass density, the calculation gives 7.655 g/cm³.

## two
Computed, not measured: Nd2TmSi after structural relaxation at the PBE level of DFT.

Unit cell a=11.0562 b=11.0562 c=11.0562 alpha=19.25 beta=19.25 gamma=19.25
Atoms (fractional coordinates):
Nd (0.1060, 0.1060, 0.1060)
Nd (0.8940, 0.8940, 0.8940)
Tm (0.0000, 0.0000, 0.0000)
Si (0.5000, 0.5000, 0.5000)

Values from the calculation:
For the mass density, the calculation gives 6.280 g/cm³.

Energies relative to the minimum, kJ/mol of atoms: one 0.0; two 31.4

## one
Computed, not measured: NdTmZnSi after structural relaxation at the PBE level of DFT.

Unit cell a=4.0670 b=5.9189 c=5.9189 alpha=41.54 beta=90.00 gamma=90.00
Atoms (fractional coordinates):
Nd (0.0000, 0.0000, 0.0000)
Tm (0.5000, 0.2847, 0.2847)
Zn (0.5000, 0.5812, 0.5812)
Si (0.0000, 0.7210, 0.7210)

Values from the calculation:
For the mass density, the calculation gives 7.148 g/cm³.

## two
Computed, not measured: NdTmZnSi after structural relaxation at the PBE level of DFT.

Unit cell a=5.0316 b=5.0316 c=5.0316 alpha=60.00 beta=60.00 gamma=60.00
Atoms (fractional coordinates):
Nd (0.0000, 0.0000, 0.0000)
Tm (0.5000, 0.5000, 0.5000)
Zn (0.2500, 0.2500, 0.2500)
Si (0.7500, 0.7500, 0.7500)

Values from the calculation:
For the mass density, the calculation gives 7.497 g/cm³.

Energies relative to the minimum, kJ/mol of atoms: one 0.0; two 9.9